(1)
Entry from the Open Quantum Materials Database: Li4AgSb2Pd after structural relaxation (PBE-GGA).

Structure (POSCAR):
```
Li4AgSb2Pd
1.0
4.565 0.000 0.000
0.000 4.565 0.000
0.000 0.000 6.472
Li Ag Sb Pd
4 1 2 1
Direct
0.000 0.000 0.000 Li
0.000 0.500 0.239 Li
0.500 0.000 0.761 Li
0.500 0.500 0.500 Li
0.000 0.000 0.500 Ag
0.000 0.500 0.760 Sb
0.500 0.000 0.240 Sb
0.500 0.500 0.000 Pd
```

Crystal system   tetragonal
E_tot   -3.5471 eV per atom
Space group   P-4m2 (115)


(2)
Entry from the Open Quantum Materials Database: LiAgPdSe3 after structural relaxation (PBE-GGA).

Structure (POSCAR):
```
LiAgPdSe3
1.0
1.931 -5.995 0.000
1.931 5.995 0.000
0.000 0.000 10.385
Li Ag Pd Se
2 2 2 6
Direct
0.209 0.791 0.750 Li
0.791 0.209 0.250 Li
0.105 0.895 0.250 Ag
0.895 0.105 0.750 Ag
0.500 0.500 0.000 Pd
0.500 0.500 0.500 Pd
0.141 0.859 0.009 Se
0.141 0.859 0.491 Se
0.437 0.563 0.250 Se
0.563 0.437 0.750 Se
0.859 0.141 0.509 Se
0.859 0.141 0.991 Se
```

Crystal system   orthorhombic
E_tot   -3.7199 eV per atom
Space group   Cmcm (63)


(3)
Entry from the Open Quantum Materials Database: LiAgTe2PdSe after structural relaxation (PBE-GGA).

Structure (POSCAR):
```
LiAgTe2PdSe
1.0
2.018 -6.283 0.000
2.018 6.283 0.000
0.000 0.000 10.828
Li Ag Te Pd Se
2 2 4 2 2
Direct
0.203 0.797 0.750 Li
0.797 0.203 0.250 Li
0.090 0.910 0.250 Ag
0.910 0.090 0.750 Ag
0.147 0.853 0.009 Te
0.147 0.853 0.491 Te
0.853 0.147 0.509 Te
0.853 0.147 0.991 Te
0.500 0.500 0.000 Pd
0.500 0.500 0.500 Pd
0.440 0.560 0.250 Se
0.560 0.440 0.750 Se
```

Crystal system   orthorhombic
E_tot   -3.5936 eV per atom
Space group   Cmcm (63)